No. 1
# CoAgP2 | Alexandria via LeMat-Bulk | PBE | relaxed
data_CoAgP2
_chemical_formula_sum 'Co1 Ag1 P2'
_space_group_name_H-M_alt 'P 4/m m m'
_space_group_IT_number 123
_space_group_name_Hall '-P 4 2'
_cell_length_a 2.7892
_cell_length_b 2.7892
_cell_length_c 7.4270
_cell_angle_alpha 90.00
_cell_angle_beta 90.00
_cell_angle_gamma 90.00
loop_
_atom_site_label
_atom_site_type_symbol
_atom_site_fract_x
_atom_site_fract_y
_atom_site_fract_z
_atom_site_occupancy
Co1 Co 0.0000 0.0000 0.0000 1
Ag1 Ag 0.0000 0.0000 0.5000 1
P1 P 0.5000 0.5000 0.1838 1
# final energy	-20.39	eV for the cell shown
# energy relative to the lowest polymorph listed for this composition	5.8	kJ/mol of atoms
# D(E_F)	1.9	states/eV per cell
# energy of formation	9	kJ/mol of atoms
# ρ	6.574	Mg/m³
# volume	14.445	A^3/atom

***

No. 2
# Sm4Dy5Sc2 | Alexandria via LeMat-Bulk | PBE | relaxed
data_Sm4Dy5Sc2
_chemical_formula_sum 'Sm8 Dy10 Sc4'
_space_group_name_H-M_alt 'C 1 2/m 1'
_space_group_IT_number 12
_space_group_name_Hall '-C 2y'
_cell_length_a 17.9749
_cell_length_b 4.9802
_cell_length_c 7.8756
_cell_angle_alpha 90.00
_cell_angle_beta 105.35
_cell_angle_gamma 90.00
loop_
_atom_site_label
_atom_site_type_symbol
_atom_site_fract_x
_atom_site_fract_y
_atom_site_fract_z
_atom_site_occupancy
Sm1 Sm 0.0442 0.0000 0.2222 1
Sm2 Sm 0.1822 0.5000 0.4052 1
Dy1 Dy 0.0000 0.5000 0.5000 1
Dy2 Dy 0.1350 0.0000 0.6851 1
Dy3 Dy 0.2266 0.0000 0.1310 1
Sc1 Sc 0.0899 0.5000 0.9537 1
# final energy	-108.27	eV for the cell shown
# energy relative to the lowest polymorph listed for this composition	0.0	kJ/mol of atoms
# D(E_F)	30.6	states/eV per cell
# energy of formation	4	kJ/mol of atoms
# ρ	7.346	Mg/m³
# volume	30.903	A^3/atom

***

No. 3
# Tl2HgBr | Alexandria via LeMat-Bulk | PBE | relaxed
data_Tl2HgBr
_chemical_formula_sum 'Tl4 Hg2 Br2'
_space_group_name_H-M_alt 'C m m m'
_space_group_IT_number 65
_space_group_name_Hall '-C 2 2'
_cell_length_a 7.8149
_cell_length_b 7.9838
_cell_length_c 4.0113
_cell_angle_alpha 90.00
_cell_angle_beta 90.00
_cell_angle_gamma 90.00
loop_
_atom_site_label
_atom_site_type_symbol
_atom_site_fract_x
_atom_site_fract_y
_atom_site_fract_z
_atom_site_occupancy
Tl1 Tl 0.2500 0.2500 0.0000 1
Hg1 Hg 0.0000 0.0000 0.5000 1
Br1 Br 0.0000 0.5000 0.5000 1
# final energy	-16.17	eV for the cell shown
# energy relative to the lowest polymorph listed for this composition	1.5	kJ/mol of atoms
# D(E_F)	2.8	states/eV per cell
# ρ	9.146	Mg/m³
# volume	31.284	A^3/atom

***

No. 4
# FeIrRu2 | Alexandria via LeMat-Bulk | PBE | relaxed
data_FeIrRu2
_chemical_formula_sum 'Fe4 Ir4 Ru8'
_space_group_name_H-M_alt 'F -4 3 m'
_space_group_IT_number 216
_space_group_name_Hall 'F -4 2 3'
_cell_length_a 6.0885
_cell_length_b 6.0885
_cell_length_c 6.0885
_cell_angle_alpha 90.00
_cell_angle_beta 90.00
_cell_angle_gamma 90.00
loop_
_atom_site_label
_atom_site_type_symbol
_atom_site_fract_x
_atom_site_fract_y
_atom_site_fract_z
_atom_site_occupancy
Fe1 Fe 0.0000 0.0000 0.0000 1
Ir1 Ir 0.2500 0.2500 0.7500 1
Ru1 Ru 0.0000 0.0000 0.5000 1
Ru2 Ru 0.2500 0.2500 0.2500 1
# final energy	-137.43	eV for the cell shown
# energy relative to the lowest polymorph listed for this composition	36.5	kJ/mol of atoms
# D(E_F)	27.9	states/eV per cell
# energy of formation	37	kJ/mol of atoms
# ρ	13.249	Mg/m³
# volume	14.106	A^3/atom

***

No. 5
# PrTm2Sb | Alexandria via LeMat-Bulk | PBE | relaxed
data_PrTm2Sb
_chemical_formula_sum 'Pr1 Tm2 Sb1'
_space_group_name_H-M_alt 'P 4/m m m'
_space_group_IT_number 123
_space_group_name_Hall '-P 4 2'
_cell_length_a 4.8456
_cell_length_b 4.8456
_cell_length_c 4.7537
_cell_angle_alpha 90.00
_cell_angle_beta 90.00
_cell_angle_gamma 90.00
loop_
_atom_site_label
_atom_site_type_symbol
_atom_site_fract_x
_atom_site_fract_y
_atom_site_fract_z
_atom_site_occupancy
Pr1 Pr 0.0000 0.0000 0.0000 1
Tm1 Tm 0.0000 0.5000 0.5000 1
Sb1 Sb 0.5000 0.5000 0.0000 1
# final energy	-19.70	eV for the cell shown
# energy relative to the lowest polymorph listed for this composition	8.3	kJ/mol of atoms
# D(E_F)	4.3	states/eV per cell
# ρ	8.934	Mg/m³
# volume	27.904	A^3/atom

***

No. 6
# ReRuO2 | Alexandria via LeMat-Bulk | PBE | relaxed
data_ReRuO2
_chemical_formula_sum 'Re4 Ru4 O8'
_space_group_name_H-M_alt 'I -4 2 d'
_space_group_IT_number 122
_space_group_name_Hall 'I -4 2bw'
_cell_length_a 4.7364
_cell_length_b 4.7364
_cell_length_c 9.0928
_cell_angle_alpha 90.00
_cell_angle_beta 90.00
_cell_angle_gamma 90.00
loop_
_atom_site_label
_atom_site_type_symbol
_atom_site_fract_x
_atom_site_fract_y
_atom_site_fract_z
_atom_site_occupancy
Re1 Re 0.0000 0.0000 0.0000 1
Ru1 Ru 0.0000 0.0000 0.5000 1
O1 O 0.2336 0.2500 0.1250 1
# final energy	-125.46	eV for the cell shown
# energy relative to the lowest polymorph listed for this composition	61.8	kJ/mol of atoms
# D(E_F)	20.2	states/eV per cell
# ρ	10.396	Mg/m³
# volume	12.749	A^3/atom

***

No. 7
# LiCo4As12 | Alexandria via LeMat-Bulk | PBE | relaxed
data_LiCo4As12
_chemical_formula_sum 'Li2 Co8 As24'
_space_group_name_H-M_alt 'I m -3'
_space_group_IT_number 204
_space_group_name_Hall '-I 2 2 3'
_cell_length_a 8.3159
_cell_length_b 8.3159
_cell_length_c 8.3159
_cell_angle_alpha 90.00
_cell_angle_beta 90.00
_cell_angle_gamma 90.00
loop_
_atom_site_label
_atom_site_type_symbol
_atom_site_fract_x
_atom_site_fract_y
_atom_site_fract_z
_atom_site_occupancy
Li1 Li 0.0000 0.0000 0.0000 1
Co1 Co 0.2500 0.2500 0.2500 1
As1 As 0.0000 0.3412 0.1526 1
# final energy	-182.77	eV for the cell shown
# D(E_F)	13.1	states/eV per cell
# energy of formation	-30	kJ/mol of atoms
# ρ	6.593	Mg/m³
# volume	16.914	A^3/atom

***

No. 8
# HfBTe2I | Alexandria via LeMat-Bulk | PBE | relaxed
data_HfBTe2I
_chemical_formula_sum 'Hf1 B1 Te2 I1'
_space_group_name_H-M_alt 'P 4/m m m'
_space_group_IT_number 123
_space_group_name_Hall '-P 4 2'
_cell_length_a 5.5715
_cell_length_b 5.5715
_cell_length_c 5.7139
_cell_angle_alpha 90.00
_cell_angle_beta 90.00
_cell_angle_gamma 90.00
loop_
_atom_site_label
_atom_site_type_symbol
_atom_site_fract_x
_atom_site_fract_y
_atom_site_fract_z
_atom_site_occupancy
Hf1 Hf 0.0000 0.0000 0.0000 1
B1 B 0.5000 0.5000 0.5000 1
Te1 Te 0.0000 0.5000 0.0000 1
I1 I 0.0000 0.0000 0.5000 1
# final energy	-20.68	eV for the cell shown
# energy relative to the lowest polymorph listed for this composition	4.8	kJ/mol of atoms
# D(E_F)	3.5	states/eV per cell
# ρ	5.350	Mg/m³
# volume	35.473	A^3/atom